The following is a DFT calculation (PBE) of crystalline MgGeTe3 at its relaxed geometry.

Calculated values
* final energy: -34.17 eV per cell
* energy relative to the elements, uncorrected: -289 meV per atom
* energy above the most stable polymorph in this dataset: 0.00 kJ per mole of atoms
* crystal system: monoclinic

Lattice parameters (Å, degrees): 4.1493 6.9869 13.2648 112.11 90.00 90.00
With the nearest neighbours (Å) after each atom.
Fractional positions:
Mg (0.2500, 0.1995, 0.1768)  6 Te 2.88-3.17
Mg (0.7500, 0.8005, 0.8232)  6 Te 2.88-3.17
Ge (0.2500, 0.1763, 0.7389)  4 Te 2.58-2.70
Ge (0.7500, 0.8237, 0.2611)  4 Te 2.58-2.70
Te (0.2500, 0.1225, 0.9258)  1 Ge 2.64
Te (0.7500, 0.8775, 0.0742)  1 Ge 2.64
Te (0.2500, 0.0607, 0.3691)  2 Ge 2.70
Te (0.7500, 0.9393, 0.6309)  2 Ge 2.70
Te (0.2500, 0.5187, 0.7072)  1 Ge 2.58, 2 Mg 2.88
Te (0.7500, 0.4813, 0.2928)  1 Ge 2.58, 2 Mg 2.88